# PBE-GGA LiBiPO2, relaxed
data_LiBiPO2
_cell_length_a 4.2634
_cell_length_b 4.2634
_cell_length_c 5.4250
_cell_angle_alpha 90.00
_cell_angle_beta 90.00
_cell_angle_gamma 90.00
_space_group_name_H-M_alt 'P 4/m m m'
_space_group_IT_number 123
_space_group_name_Hall '-P 4 2'
loop_
_atom_site_label
_atom_site_fract_x
_atom_site_fract_y
_atom_site_fract_z
Li1 0.0000 0.0000 0.0000
Bi1 0.5000 0.5000 0.5000
P1 0.5000 0.5000 0.0000
O1 0.0000 0.5000 0.5000
# ρ in g/cm³: 4.7
# Uncorrected formation energy in meV per atom: -120
# Raw total energy in eV/atom: -4.34
# E above lowest polymorph in meV per atom: 0
# M_tot in μB per formula unit: 1.46